(1)
Here is a geometry-optimized Mn2Ga4Tc structure from Alexandria. Energies are from PBE.

* ΔH_f (0 K): 2.547 eV/f.u.
* DOS at the Fermi energy: 3.963 states/eV per cell
* symmetry: I4/mmm (139)

abc: 4.7547 4.7547 7.1843
angles: 70.68 70.68 90.00
Each line ends with the local moment (μB).
Atoms (fractional coordinates):
Mn (0.6061, 0.6061, 0.7877)  3.72
Mn (0.3939, 0.3939, 0.2123)  3.72
Tc (0.0000, 0.0000, 0.0000)  0.45
Ga (0.8053, 0.8053, 0.3893)  -0.05
Ga (0.1947, 0.1947, 0.6107)  -0.05
Ga (0.0000, 0.5000, 0.0000)  -0.05
Ga (0.5000, 0.0000, 0.0000)  -0.05

***

(2)
Here is a geometry-optimized LaZr2Ni structure from Alexandria. Energies are from PBE.

* ΔH_f (0 K): -0.229 eV/f.u.
* DOS at the Fermi energy: 4.881 states/eV per cell
* symmetry: P4/mmm (123)

abc: 3.3157 3.3157 8.0738
angles: 90.00 90.00 90.00
Atoms (fractional coordinates):
La (0.5000, 0.5000, 0.2500)
Ni (0.5000, 0.5000, 0.7500)
Zr (0.0000, 0.0000, 0.9378)
Zr (0.0000, 0.0000, 0.5622)

***

(3)
Here is a geometry-optimized ZrTcNi2 structure from Alexandria. Energies are from PBE.

* ΔH_f (0 K): -0.779 eV/f.u.
* DOS at the Fermi energy: 6.756 states/eV per cell
* symmetry: P2_1/m (11)

abc: 5.5475 3.8077 6.0825
angles: 90.00 114.54 90.00
Atoms (fractional coordinates):
Zr (0.7663, 0.2500, 0.8544)
Zr (0.2337, 0.7500, 0.1456)
Tc (0.0551, 0.2500, 0.4009)
Tc (0.9449, 0.7500, 0.5991)
Ni (0.2945, 0.2500, 0.8597)
Ni (0.7055, 0.7500, 0.1403)
Ni (0.5765, 0.2500, 0.3703)
Ni (0.4235, 0.7500, 0.6297)

***

Q: The lowest ΔH_f (0 K) belongs to which entry?
A: ZrTcNi2

***

Q: Among the records above, which one has the lowest DOS at the Fermi energy?
A: Mn2Ga4Tc

***

Q: DOS at the Fermi energy of number 2 (LaZr2Ni)?
A: 4.881 states/eV per cell